# 1
ZnRhSCl2 | the Alexandria database | PBE | relaxed; crystal system = tetragonal; excess energy over the best structure of this formula in the dataset = 0.383 eV/atom; ΔE_f (raw) = 397 meV per atom; space group = P4/mmm
1.0
4.749 0.000 0.000
0.000 4.749 0.000
0.000 0.000 4.805
Zn Rh S Cl
1 1 1 2
Cartesian
0.000 0.000 0.000
2.374 2.374 2.403
0.000 0.000 2.403
0.000 2.374 0.000
2.374 0.000 0.000

# 2
ZnRhS2Cl | the Alexandria database | PBE | relaxed; crystal system = tetragonal; excess energy over the best structure of this formula in the dataset = 0.452 eV/atom; ΔE_f (raw) = 680 meV per atom; space group = P4/mmm
1.0
4.610 0.000 0.000
0.000 4.610 0.000
0.000 0.000 4.864
Zn Rh S Cl
1 1 2 1
Cartesian
0.000 0.000 0.000
2.305 2.305 2.432
0.000 2.305 0.000
2.305 0.000 0.000
0.000 0.000 2.432

# 3
ZnRhSCl2 | the Alexandria database | PBE | relaxed; crystal system = tetragonal; excess energy over the best structure of this formula in the dataset = 0.000 eV/atom; ΔE_f (raw) = 14 meV per atom; space group = P4/mmm
1.0
4.882 0.000 0.000
0.000 4.882 0.000
0.000 0.000 4.539
Zn Rh S Cl
1 1 1 2
Cartesian
0.000 0.000 0.000
2.441 2.441 2.270
2.441 2.441 0.000
0.000 2.441 2.270
2.441 0.000 2.270

# 4
ZnRhS2Cl | the Alexandria database | PBE | relaxed; crystal system = tetragonal; excess energy over the best structure of this formula in the dataset = 0.000 eV/atom; ΔE_f (raw) = 228 meV per atom; space group = P4/mmm
1.0
4.645 0.000 0.000
0.000 4.645 0.000
0.000 0.000 4.820
Zn Rh S Cl
1 1 2 1
Cartesian
0.000 0.000 0.000
2.322 2.322 2.410
0.000 2.322 2.410
2.322 0.000 2.410
2.322 2.322 0.000

# 5
ZrRhS2Cl | the Alexandria database | PBE | relaxed; crystal system = tetragonal; excess energy over the best structure of this formula in the dataset = 0.097 eV/atom; ΔE_f (raw) = -58 meV per atom; space group = P4/mmm
1.0
4.645 0.000 0.000
0.000 4.645 0.000
0.000 0.000 4.549
Zr Rh S Cl
1 1 2 1
Cartesian
0.000 0.000 0.000
2.323 2.323 2.274
0.000 2.323 2.274
2.323 0.000 2.274
2.323 2.323 0.000

# 6
ZrRhS2Cl | the Alexandria database | PBE | relaxed; crystal system = tetragonal; excess energy over the best structure of this formula in the dataset = 0.000 eV/atom; ΔE_f (raw) = -155 meV per atom; space group = P4/mmm
1.0
4.994 0.000 0.000
0.000 4.994 0.000
0.000 0.000 4.936
Zr Rh S Cl
1 1 2 1
Cartesian
0.000 0.000 0.000
2.497 2.497 2.468
0.000 2.497 0.000
2.497 0.000 0.000
0.000 0.000 2.468

Q: ΔE_f (raw) of number 2 (ZnRhS2Cl)?
A: 680 meV per atom

Q: The highest excess energy over the best structure of this formula in the dataset belongs to which entry?
A: number 2

Q: ΔE_f (raw) of number 3 (ZnRhSCl2)?
A: 14 meV per atom

Q: Among the records above, which one has the highest ΔE_f (raw)?
A: number 2